Density functional theory data (PBE with a Hubbard U) for a relaxed Rb3Cr2Br2F5 crystal.

Output
Uncorrected energy in eV/cell: -57.8
SG: I4/mmm

a = 4.5562 Å, b = 4.5562 Å, c = 12.7334 Å
α = 100.31°, β = 100.31°, γ = 90.00°
Each line ends with the local moment (μB).
Sites, in units of the cell vectors:
Rb: 0.1598 0.1598 0.3197  0.00
Rb: 0.8402 0.8402 0.6803  0.00
Rb: 0.0000 0.0000 0.0000  0.00
Cr: 0.4176 0.4176 0.8353  3.82
Cr: 0.5824 0.5824 0.1647  3.82
Br: 0.6885 0.6885 0.3770  -0.02
Br: 0.3115 0.3115 0.6230  -0.02
F: 0.5804 0.0804 0.1609  0.01
F: 0.4196 0.9196 0.8391  0.01
F: 0.0804 0.5804 0.1609  0.01
F: 0.9196 0.4196 0.8391  0.01
F: 0.5000 0.5000 0.0000  0.00